(1)
## Y2ScCl2 (PBE)

Data for an optimized crystal structure of Y2ScCl2.

abc: 8.055 8.055 8.055
angles: 149.04 149.04 44.35
Sites, in units of the cell vectors:
Y1 0.123 0.123 0.000
Y2 0.877 0.877 0.000
Sc1 0.500 0.500 0.000
Cl1 0.250 0.750 0.500
Cl2 0.750 0.250 0.500

Summary:
Calculated total energy: -5.397 eV per atom
Theoretical density: 3.54 Mg/m³
Symmetry: No. 139

(2)
## YScCl2 (PBE)

Data for an optimized crystal structure of YScCl2.

abc: 7.091 7.091 7.091
angles: 149.02 149.02 44.38
Sites, in units of the cell vectors:
Y1 0.000 0.000 0.000
Sc1 0.750 0.250 0.500
Cl1 0.250 0.750 0.500
Cl2 0.500 0.500 0.000

Summary:
Calculated total energy: -5.026 eV per atom
Theoretical density: 3.61 Mg/m³
Symmetry: No. 119
Polymorph energy (0 for the lowest one): 534 meV/atom